First-principles (PBE) data for a geometry-optimized Er5Lu2Te2Pt2 structure, as listed in OQMD.

Unit cell a=3.9286 b=15.4829 c=9.4992 alpha=90.00 beta=90.00 gamma=90.00
Space group Imm2 (No. 44)
Unique sites:
Er1 0.0000 0.0000 0.0000 (multiplicity 2)
Er2 0.0000 0.1311 0.5828 (multiplicity 4)
Er3 0.0000 0.3555 0.7327 (multiplicity 4)
Lu1 0.0000 0.3166 0.3740 (multiplicity 4)
Te1 0.0000 0.0000 0.3376 (multiplicity 2)
Te2 0.0000 0.5000 0.2362 (multiplicity 2)
Pt1 0.0000 0.2364 0.0690 (multiplicity 4)

## Properties
volume	26.26	A^3/atom
total DFT energy (no corrections)	-5.605	eV/atom

***

First-principles (PBE) data for a geometry-optimized Pr2B5Os2W structure, as listed in OQMD.

Unit cell a=10.7700 b=4.1671 c=7.8935 alpha=90.00 beta=122.57 gamma=90.00
Space group C2 (No. 5)
Unique sites:
Pr1 0.1530 0.0000 0.2544 (multiplicity 4)
B1 0.0000 0.5041 0.0000 (multiplicity 2)
B2 0.0450 0.7607 0.6251 (multiplicity 4)
B3 0.1455 0.0227 0.8162 (multiplicity 4)
Os1 0.1373 0.5036 0.9051 (multiplicity 4)
W1 0.0000 0.2616 0.5000 (multiplicity 2)

## Properties
volume	14.93	A^3/atom
total DFT energy (no corrections)	-8.234	eV/atom

***

First-principles (PBE) data for a geometry-optimized GaRe2Ni structure, as listed in OQMD.

Unit cell a=5.2231 b=9.5443 c=4.4405 alpha=90.00 beta=90.00 gamma=90.00
Space group Cmcm (No. 63)
Unique sites:
Ga1 0.0000 0.1878 0.2500 (multiplicity 4)
Re1 0.2388 0.0709 0.7500 (multiplicity 8)
Ni1 0.0000 0.3298 0.7500 (multiplicity 4)

## Properties
volume	13.84	A^3/atom
total DFT energy (no corrections)	-8.297	eV/atom

***

First-principles (PBE) data for a geometry-optimized PrNbSn structure, as listed in OQMD.

Unit cell a=7.0317 b=7.0317 c=7.0317 alpha=90.00 beta=90.00 gamma=90.00
Space group F-43m (No. 216)
Unique sites:
Pr1 0.0000 0.0000 0.0000 (multiplicity 4)
Nb1 0.0000 0.0000 0.5000 (multiplicity 4)
Sn1 0.2500 0.2500 0.7500 (multiplicity 4)

## Properties
volume	28.97	A^3/atom
energy relative to the lowest polymorph listed for this composition	0	meV/atom
total DFT energy (no corrections)	-6.036	eV/atom

***

First-principles (PBE) data for a geometry-optimized Ag3PbF6 structure, as listed in OQMD.

Unit cell a=7.5324 b=11.4952 c=3.7865 alpha=90.00 beta=90.00 gamma=90.00
Space group Cmmm (No. 65)
Unique sites:
Ag1 0.0000 0.0000 0.0000 (multiplicity 2)
Ag2 0.2500 0.2500 0.5000 (multiplicity 4)
Pb1 0.0000 0.5000 0.0000 (multiplicity 2)
F1 0.0000 0.3633 0.5000 (multiplicity 4)
F2 0.2123 0.1246 0.0000 (multiplicity 8)

## Properties
volume	16.39	A^3/atom
total DFT energy (no corrections)	-3.771	eV/atom

***

First-principles (PBE) data for a geometry-optimized Li2Co2SiNi2Ge structure, as listed in OQMD.

Unit cell a=3.9364 b=3.9364 c=5.5722 alpha=90.00 beta=90.00 gamma=90.00
Space group P-4m2 (No. 115)
Unique sites:
Li1 0.0000 0.0000 0.0000 (multiplicity 1)
Li2 0.5000 0.5000 0.5000 (multiplicity 1)
Co1 0.0000 0.5000 0.2425 (multiplicity 2)
Si1 0.5000 0.5000 0.0000 (multiplicity 1)
Ni1 0.0000 0.5000 0.7572 (multiplicity 2)
Ge1 0.0000 0.0000 0.5000 (multiplicity 1)

## Properties
volume	10.79	A^3/atom
total DFT energy (no corrections)	-5.283	eV/atom